Below is a relaxed MnZnI2 crystal, with properties calculated at the PBE-GGA level.

Results
Electronic total energy: -2.866 eV/atom
Formation energy without anion corrections: 50.2 kJ/mol of atoms

Geometry as CIF:
```
data_MnZnI2
_chemical_formula_sum 'Mn4 Zn4 I8'
_symmetry_space_group_name_H-M 'I -4 2 d'
_symmetry_Int_Tables_number 122
_symmetry_space_group_name_Hall 'I -4 2bw'
_cell_length_a 7.483
_cell_length_b 7.483
_cell_length_c 9.752
_cell_angle_alpha 90.00
_cell_angle_beta 90.00
_cell_angle_gamma 90.00
loop_
_atom_site_label
_atom_site_fract_x
_atom_site_fract_y
_atom_site_fract_z
_atom_site_occupancy
Mn1 0.000 0.000 0.000 1
Zn1 0.000 0.000 0.500 1
I1 0.149 0.750 0.125 1
```

Below is a relaxed Mn2ZnI8 crystal, with properties calculated at the PBE-GGA level.

Results
Electronic total energy: -3.205 eV/atom
Formation energy without anion corrections: -28.4 kJ/mol of atoms

Geometry as CIF:
```
data_Mn2ZnI8
_chemical_formula_sum 'Mn4 Zn2 I16'
_symmetry_space_group_name_H-M 'C 1 2/m 1'
_symmetry_Int_Tables_number 12
_symmetry_space_group_name_Hall '-C 2y'
_cell_length_a 12.258
_cell_length_b 11.492
_cell_length_c 7.037
_cell_angle_alpha 90.00
_cell_angle_beta 99.56
_cell_angle_gamma 90.00
loop_
_atom_site_label
_atom_site_fract_x
_atom_site_fract_y
_atom_site_fract_z
_atom_site_occupancy
Mn1 0.209 0.000 0.162 1
Zn1 0.000 0.000 0.500 1
I1 0.081 0.500 0.721 1
I2 0.100 0.170 0.298 1
I3 0.213 0.000 0.795 1
```

Below is a relaxed Mn3ZnI crystal, with properties calculated at the PBE-GGA level.

Results
Electronic total energy: -4.687 eV/atom
Formation energy without anion corrections: 133.1 kJ/mol of atoms

Geometry as CIF:
```
data_Mn3ZnI
_chemical_formula_sum 'Mn3 Zn1 I1'
_symmetry_space_group_name_H-M 'P m -3 m'
_symmetry_Int_Tables_number 221
_symmetry_space_group_name_Hall '-P 4 2 3'
_cell_length_a 4.915
_cell_length_b 4.915
_cell_length_c 4.915
_cell_angle_alpha 90.00
_cell_angle_beta 90.00
_cell_angle_gamma 90.00
loop_
_atom_site_label
_atom_site_fract_x
_atom_site_fract_y
_atom_site_fract_z
_atom_site_occupancy
Mn1 0.000 0.000 0.500 1
Zn1 0.500 0.500 0.500 1
I1 0.000 0.000 0.000 1
```

Below is a relaxed Mn3ZnI crystal, with properties calculated at the PBE-GGA level.

Results
Electronic total energy: -5.211 eV/atom
Formation energy without anion corrections: 82.6 kJ/mol of atoms

Geometry as CIF:
```
data_Mn3ZnI
_chemical_formula_sum 'Mn3 Zn1 I1'
_symmetry_space_group_name_H-M 'P m -3 m'
_symmetry_Int_Tables_number 221
_symmetry_space_group_name_Hall '-P 4 2 3'
_cell_length_a 4.886
_cell_length_b 4.886
_cell_length_c 4.886
_cell_angle_alpha 90.00
_cell_angle_beta 90.00
_cell_angle_gamma 90.00
loop_
_atom_site_label
_atom_site_fract_x
_atom_site_fract_y
_atom_site_fract_z
_atom_site_occupancy
Mn1 0.000 0.000 0.500 1
Zn1 0.000 0.000 0.000 1
I1 0.500 0.500 0.500 1
```

Below is a relaxed Mn2ZnI crystal, with properties calculated at the PBE-GGA level.

Results
Electronic total energy: -4.607 eV/atom
Formation energy without anion corrections: 65.9 kJ/mol of atoms

Geometry as CIF:
```
data_Mn2ZnI
_chemical_formula_sum 'Mn8 Zn4 I4'
_symmetry_space_group_name_H-M 'I -4 2 d'
_symmetry_Int_Tables_number 122
_symmetry_space_group_name_Hall 'I -4 2bw'
_cell_length_a 4.854
_cell_length_b 4.854
_cell_length_c 16.910
_cell_angle_alpha 90.00
_cell_angle_beta 90.00
_cell_angle_gamma 90.00
loop_
_atom_site_label
_atom_site_fract_x
_atom_site_fract_y
_atom_site_fract_z
_atom_site_occupancy
Mn1 0.170 0.250 0.125 1
Zn1 0.000 0.000 0.000 1
I1 0.000 0.000 0.500 1
```

Below is a relaxed MnZnI2 crystal, with properties calculated at the PBE-GGA level.

Results
Electronic total energy: -2.443 eV/atom
Formation energy without anion corrections: 91.0 kJ/mol of atoms

Geometry as CIF:
```
data_MnZnI2
_chemical_formula_sum 'Mn4 Zn4 I8'
_symmetry_space_group_name_H-M 'F m -3 m'
_symmetry_Int_Tables_number 225
_symmetry_space_group_name_Hall '-F 4 2 3'
_cell_length_a 7.054
_cell_length_b 7.054
_cell_length_c 7.054
_cell_angle_alpha 90.00
_cell_angle_beta 90.00
_cell_angle_gamma 90.00
loop_
_atom_site_label
_atom_site_fract_x
_atom_site_fract_y
_atom_site_fract_z
_atom_site_occupancy
Mn1 0.000 0.000 0.000 1
Zn1 0.000 0.000 0.500 1
I1 0.250 0.250 0.250 1
```

Below is a relaxed MnZn2I2 crystal, with properties calculated at the PBE-GGA level.

Results
Electronic total energy: -2.590 eV/atom
Formation energy without anion corrections: 36.1 kJ/mol of atoms

Geometry as CIF:
```
data_MnZn2I2
_chemical_formula_sum 'Mn2 Zn4 I4'
_symmetry_space_group_name_H-M 'P 4/m b m'
_symmetry_Int_Tables_number 127
_symmetry_space_group_name_Hall '-P 4 2ab'
_cell_length_a 7.392
_cell_length_b 7.392
_cell_length_c 4.726
_cell_angle_alpha 90.00
_cell_angle_beta 90.00
_cell_angle_gamma 90.00
loop_
_atom_site_label
_atom_site_fract_x
_atom_site_fract_y
_atom_site_fract_z
_atom_site_occupancy
Mn1 0.000 0.000 0.000 1
Zn1 0.124 0.376 0.000 1
I1 0.195 0.695 0.500 1
```

Below is a relaxed Mn2ZnI crystal, with properties calculated at the PBE-GGA level.

Results
Electronic total energy: -4.396 eV/atom
Formation energy without anion corrections: 86.4 kJ/mol of atoms

Geometry as CIF:
```
data_Mn2ZnI
_chemical_formula_sum 'Mn8 Zn4 I4'
_symmetry_space_group_name_H-M 'F m -3 m'
_symmetry_Int_Tables_number 225
_symmetry_space_group_name_Hall '-F 4 2 3'
_cell_length_a 6.109
_cell_length_b 6.109
_cell_length_c 6.109
_cell_angle_alpha 90.00
_cell_angle_beta 90.00
_cell_angle_gamma 90.00
loop_
_atom_site_label
_atom_site_fract_x
_atom_site_fract_y
_atom_site_fract_z
_atom_site_occupancy
Mn1 0.250 0.250 0.250 1
Zn1 0.000 0.000 0.000 1
I1 0.000 0.000 0.500 1
```